# SCAN SnPt2CBr, PBEsol geometry
data_SnPt2CBr
_symmetry_space_group_name_H-M 'P 4/m m m'
_symmetry_Int_Tables_number 123
_symmetry_space_group_name_Hall '-P 4 2'
_cell_length_a 4.881
_cell_length_b 4.881
_cell_length_c 3.897
_cell_angle_alpha 90.00
_cell_angle_beta 90.00
_cell_angle_gamma 90.00
loop_
_atom_site_label
_atom_site_fract_x
_atom_site_fract_y
_atom_site_fract_z
Sn1 0.000 0.000 0.000
Pt1 0.000 0.500 0.500
C1 0.500 0.500 0.000
Br1 0.500 0.500 0.500
# V in Å³/cell: 93
# ΔE_f (raw) in eV per atom: 1.8585